1.
A relaxed structure of CrFe2MoPd, computed with GGA-PBE.

Calculated values
**Crystal system**: tetragonal
**SG**: P4/mmm (123)
**Magnetic moment**: 3.70 μB per formula unit
**Energy relative to the elements**: 1773 meV per atom

Cell: 4.545 4.424 4.545 Å, 90.00 90.00 90.00°
Fractional positions:
Cr: 0.000 0.500 0.000
Mo: 0.500 0.500 0.500
Fe: 0.000 0.000 0.500
Fe: 0.500 0.000 0.000
Pd: 0.000 0.000 0.000

2.
A relaxed structure of CrFeMoPt, computed with GGA-PBE.

Calculated values
**Crystal system**: cubic
**SG**: F-43m (216)
**Magnetic moment**: 4.66 μB per formula unit
**Energy relative to the elements**: 30 meV per atom

Cell: 4.299 4.299 4.299 Å, 60.00 60.00 60.00°
Fractional positions:
Cr: 0.500 0.500 0.500
Mo: 0.750 0.750 0.750
Fe: 0.000 0.000 0.000
Pt: 0.250 0.250 0.250

3.
A relaxed structure of CrFeReMo, computed with GGA-PBE.

Calculated values
**Crystal system**: cubic
**SG**: F-43m (216)
**Magnetic moment**: 2.45 μB per formula unit
**Energy relative to the elements**: 114 meV per atom

Cell: 4.245 4.245 4.245 Å, 60.00 60.00 60.00°
Fractional positions:
Re: 0.750 0.750 0.750
Mo: 0.250 0.250 0.250
Fe: 0.000 0.000 0.000
Cr: 0.500 0.500 0.500

4.
A relaxed structure of CrFeMo2Rh, computed with GGA-PBE.

Calculated values
**Crystal system**: tetragonal
**SG**: P4/mmm (123)
**Magnetic moment**: 0.13 μB per formula unit
**Energy relative to the elements**: 1405 meV per atom

Cell: 4.361 4.431 4.361 Å, 90.00 90.00 90.00°
Fractional positions:
Cr: 0.500 0.500 0.500
Mo: 0.000 0.000 0.500
Mo: 0.500 0.000 0.000
Rh: 0.000 0.500 0.000
Fe: 0.000 0.000 0.000